The following is a PBE-GGA calculation of an optimized crystal structure of Re3HgI, from the Alexandria database.

Lattice parameters (Å, degrees): 4.8393 4.8393 4.8393 90.00 90.00 90.00
Fractional positions:
Re (0.0000, 0.0000, 0.5000)
Re (0.0000, 0.5000, 0.0000)
Re (0.5000, 0.0000, 0.0000)
Hg (0.5000, 0.5000, 0.5000)
I (0.0000, 0.0000, 0.0000)

Values from the calculation:
- Symmetry: Pm-3m

The following is a PBE-GGA calculation of an optimized crystal structure of ReHgI, from the Alexandria database.

Lattice parameters (Å, degrees): 3.7066 6.2402 7.7390 96.10 90.11 90.03
Fractional positions:
Re (0.0000, 0.0000, 0.0000)
Re (0.5001, 0.2140, 0.9297)
Hg (0.0011, 0.8230, 0.3217)
Hg (0.0042, 0.3750, 0.2286)
I (0.4994, 0.6658, 0.8784)
I (0.5016, 0.1618, 0.5805)

Values from the calculation:
- Symmetry: P1

For each record above, in turn, the calculated total energy values are -25.1 -25.5 eV for the cell shown.